Material: SbTeI2
Method: DFT, PBE-GGA
State: relaxed

Cell and atoms, written as POSCAR:
```
SbTeI2
1.0
0.0000 3.9638 3.9638
3.9638 0.0000 3.9638
3.9638 3.9638 0.0000
Sb Te I
1 1 2
Direct
0.0000 0.0000 0.0000
0.5000 0.5000 0.5000
0.2500 0.2500 0.2500
0.7500 0.7500 0.7500
```

Its volume is 124.6 Å³ per cell. The density of states at the Fermi level is 4.43 states/eV/f.u. As for the space group: No. 225. Its uncorrected formation energy is 0.448 eV/atom. Its relative energy among the computed polymorphs is 549 meV per atom.

Material: Sm3Y2HoEr6
Method: DFT, PBE-GGA
State: relaxed

Cell and atoms, written as POSCAR:
```
Sm3Y2HoEr6
1.0
3.0774 -5.3254 0.0000
3.0774 5.3254 0.0000
-2.0436 0.0000 11.5593
Sm Y Ho Er
3 2 1 6
Direct
0.0000 0.0000 0.0000
0.3332 0.6668 0.0000
0.6668 0.3332 0.0000
0.1666 0.8334 0.5000
0.8334 0.1666 0.5000
0.5000 0.5000 0.5000
0.0845 0.4171 0.2517
0.2503 0.2503 0.7484
0.4171 0.0845 0.2517
0.5829 0.9155 0.7483
0.7497 0.7497 0.2516
0.9155 0.5829 0.7483
```

Its volume is 378.9 Å³ per cell. The density of states at the Fermi level is 16.53 states/eV/f.u. The calculation puts the formation energy at 2.0 kJ/mol of atoms. As for the space group: No. 12.

Material: PrSm2Sc
Method: DFT, PBE-GGA
State: relaxed

Cell and atoms, written as POSCAR:
```
PrSm2Sc
1.0
5.0083 0.0000 0.0000
0.0000 5.0083 0.0000
0.0000 0.0000 5.0605
Pr Sm Sc
1 2 1
Direct
0.0000 0.0000 0.0000
0.0000 0.5000 0.5000
0.5000 0.0000 0.5000
0.5000 0.5000 0.0000
```

Its volume is 126.9 Å³ per cell. The density of states at the Fermi level is 5.54 states/eV/f.u. The calculation puts the formation energy at 3.8 kJ/mol of atoms. As for the space group: No. 123. Its relative energy among the computed polymorphs is 0 meV per atom.

Material: Ba2TlGe3Pt4
Method: DFT, PBE-GGA
State: relaxed

Cell and atoms, written as POSCAR:
```
Ba2TlGe3Pt4
1.0
4.6571 0.0000 0.0000
0.0000 4.6571 0.0000
0.0000 0.0000 10.4156
Ba Tl Ge Pt
2 1 3 4
Direct
0.0000 0.5000 0.2455
0.5000 0.0000 0.7545
0.0000 0.0000 0.5000
0.0000 0.5000 0.8893
0.5000 0.0000 0.1107
0.5000 0.5000 0.5000
0.0000 0.0000 0.0000
0.0000 0.5000 0.6464
0.5000 0.0000 0.3536
0.5000 0.5000 0.0000
```

Its volume is 225.9 Å³ per cell. The density of states at the Fermi level is 6.46 states/eV/f.u. The calculation puts the formation energy at -63.1 kJ/mol of atoms. As for the space group: No. 115.

Material: TiIn2Rh
Method: DFT, PBE-GGA
State: relaxed

Cell and atoms, written as POSCAR:
```
TiIn2Rh
1.0
3.1927 0.0000 0.0000
0.0000 3.1927 0.0000
0.0000 0.0000 7.1233
Ti In Rh
1 2 1
Direct
0.0000 0.0000 0.0000
0.5000 0.5000 0.2689
0.5000 0.5000 0.7311
0.0000 0.0000 0.5000
```

Its volume is 72.6 Å³ per cell. The density of states at the Fermi level is 3.98 states/eV/f.u. The calculation puts the formation energy at -23.9 kJ/mol of atoms. As for the space group: No. 123.

Material: YNbRe3
Method: DFT, PBE-GGA
State: relaxed

Cell and atoms, written as POSCAR:
```
YNbRe3
1.0
4.8096 0.0000 0.0000
0.0000 4.8096 0.0000
0.0000 0.0000 4.8096
Y Nb Re
1 1 3
Direct
0.0000 0.0000 0.0000
0.5000 0.5000 0.5000
0.0000 0.5000 0.5000
0.5000 0.0000 0.5000
0.5000 0.5000 0.0000
```

Its volume is 111.3 Å³ per cell. The density of states at the Fermi level is 5.83 states/eV/f.u. The calculation puts the formation energy at 148.7 kJ/mol of atoms. As for the space group: No. 221. Its relative energy among the computed polymorphs is 0 meV per atom.

Material: NpIn2Au4
Method: DFT, PBE-GGA
State: relaxed

Cell and atoms, written as POSCAR:
```
NpIn2Au4
1.0
4.0970 0.0000 0.0000
0.0000 4.0970 0.0000
0.0000 0.0000 10.1770
Np In Au
1 2 4
Direct
0.0000 0.0000 0.0000
0.0000 0.5000 0.5000
0.5000 0.0000 0.5000
0.2622 0.2622 0.2403
0.2622 0.7378 0.7597
0.7378 0.2622 0.7597
0.7378 0.7378 0.2403
```

Its volume is 170.8 Å³ per cell. The density of states at the Fermi level is 16.07 states/eV/f.u. The calculation puts the formation energy at 20.5 kJ/mol of atoms. As for the space group: No. 111.

Material: Re2AgSe
Method: DFT, PBE-GGA
State: relaxed

Cell and atoms, written as POSCAR:
```
Re2AgSe
1.0
2.7230 -5.0883 0.0000
2.7230 5.0883 0.0000
-1.1987 0.0000 2.4296
Re Ag Se
2 1 1
Direct
0.0000 0.5000 0.0000
0.5000 0.0000 0.0000
0.0000 0.0000 0.0000
0.5000 0.5000 0.0000
```

Its volume is 67.3 Å³ per cell. The density of states at the Fermi level is 3.88 states/eV/f.u. As for the space group: No. 12. Its uncorrected formation energy is 0.941 eV/atom.

Material: KYAs2
Method: DFT, PBE-GGA
State: relaxed

Cell and atoms, written as POSCAR:
```
KYAs2
1.0
5.5189 0.0000 0.0000
0.0000 5.5189 0.0000
0.0000 0.0000 3.2689
K Y As
1 1 2
Direct
0.0000 0.0000 0.0000
0.5000 0.5000 0.8811
0.0000 0.5000 0.4795
0.5000 0.0000 0.4795
```

Its volume is 99.6 Å³ per cell. The density of states at the Fermi level is 3.14 states/eV/f.u. The calculation puts the formation energy at -45.7 kJ/mol of atoms. As for the space group: No. 99. Its relative energy among the computed polymorphs is 339 meV per atom.

Material: CaPr2Mg
Method: DFT, PBE-GGA
State: relaxed

Cell and atoms, written as POSCAR:
```
CaPr2Mg
1.0
0.0000 4.0594 4.0594
4.0594 0.0000 4.0594
4.0594 4.0594 0.0000
Ca Pr Mg
1 2 1
Direct
0.0000 0.0000 0.0000
0.2500 0.2500 0.2500
0.7500 0.7500 0.7500
0.5000 0.5000 0.5000
```

Its volume is 133.8 Å³ per cell. The density of states at the Fermi level is 3.87 states/eV/f.u. The calculation puts the formation energy at 1.6 kJ/mol of atoms. As for the space group: No. 225. Its relative energy among the computed polymorphs is 29 meV per atom.

Material: PuReSi2Ir
Method: DFT, PBE-GGA
State: relaxed

Cell and atoms, written as POSCAR:
```
PuReSi2Ir
1.0
-2.0781 2.0781 4.9600
2.0781 -2.0781 4.9600
2.0781 2.0781 -4.9600
Pu Re Si Ir
1 1 2 1
Direct
0.0000 0.0000 0.0000
0.7500 0.2500 0.5000
0.3755 0.3755 0.0000
0.6245 0.6245 0.0000
0.2500 0.7500 0.5000
```

Its volume is 85.7 Å³ per cell. The density of states at the Fermi level is 13.54 states/eV/f.u. As for the space group: No. 119. Its uncorrected formation energy is -0.599 eV/atom.

Material: BiAuSe2Br
Method: DFT, PBE-GGA
State: relaxed

Cell and atoms, written as POSCAR:
```
BiAuSe2Br
1.0
5.1892 0.0000 0.0000
0.0000 5.1892 0.0000
0.0000 0.0000 5.0459
Bi Au Se Br
1 1 2 1
Direct
0.0000 0.0000 0.0000
0.5000 0.5000 0.5000
0.0000 0.5000 0.5000
0.5000 0.0000 0.5000
0.5000 0.5000 0.0000
```

Its volume is 135.9 Å³ per cell. The density of states at the Fermi level is 2.57 states/eV/f.u. As for the space group: No. 123. Its uncorrected formation energy is 0.258 eV/atom. Its relative energy among the computed polymorphs is 0 meV per atom.

Material: NdSm2GaN
Method: DFT, PBE-GGA
State: relaxed

Cell and atoms, written as POSCAR:
```
NdSm2GaN
1.0
4.8969 0.0000 0.0000
0.0000 4.8969 0.0000
0.0000 0.0000 4.9724
Nd Sm Ga N
1 2 1 1
Direct
0.0000 0.0000 0.0000
0.0000 0.5000 0.5000
0.5000 0.0000 0.5000
0.5000 0.5000 0.0000
0.0000 0.0000 0.5000
```

Its volume is 119.2 Å³ per cell. The density of states at the Fermi level is 2.55 states/eV/f.u. As for the space group: No. 123. Its uncorrected formation energy is -0.849 eV/atom.

Material: GdErIn4
Method: DFT, PBE-GGA
State: relaxed

Cell and atoms, written as POSCAR:
```
GdErIn4
1.0
0.0000 4.2387 4.2387
4.2387 0.0000 4.2387
4.2387 4.2387 0.0000
Gd Er In
1 1 4
Direct
0.0000 0.0000 0.0000
0.2500 0.2500 0.2500
0.1250 0.6250 0.6250
0.6250 0.1250 0.6250
0.6250 0.6250 0.1250
0.6250 0.6250 0.6250
```

Its volume is 152.3 Å³ per cell. The density of states at the Fermi level is 5.22 states/eV/f.u. The calculation puts the formation energy at -31.5 kJ/mol of atoms. As for the space group: No. 216.

Material: TmGe2Pt8
Method: DFT, PBE-GGA
State: relaxed

Cell and atoms, written as POSCAR:
```
TmGe2Pt8
1.0
3.8680 -5.7810 0.0000
3.8680 5.7810 0.0000
-1.1957 0.0000 4.1870
Tm Ge Pt
1 2 8
Direct
0.0000 0.0000 0.0000
0.3275 0.6725 0.5000
0.6725 0.3275 0.5000
0.0663 0.3178 0.5958
0.2401 0.7599 0.0000
0.3178 0.0663 0.5958
0.3784 0.3784 0.1735
0.6216 0.6216 0.8265
0.6822 0.9337 0.4042
0.7599 0.2401 0.0000
0.9337 0.6822 0.4042
```

Its volume is 187.2 Å³ per cell. The density of states at the Fermi level is 6.58 states/eV/f.u. The calculation puts the formation energy at -48.4 kJ/mol of atoms. As for the space group: No. 12.

Material: PHOsO
Method: DFT, PBE-GGA
State: relaxed

Cell and atoms, written as POSCAR:
```
PHOsO
1.0
1.8097 1.0449 3.9070
-1.8097 1.0449 3.9070
0.0000 -2.0897 3.9070
P H Os O
1 1 1 1
Direct
0.0000 0.0000 0.0000
0.2768 0.2768 0.2768
0.4103 0.4103 0.4103
0.8607 0.8607 0.8607
```

Its volume is 44.3 Å³ per cell. As for the space group: No. 160. Its relative energy among the computed polymorphs is 45 meV per atom.

Material: Mn2Ni15Sb2
Method: DFT, PBE-GGA
State: relaxed

Cell and atoms, written as POSCAR:
```
Mn2Ni15Sb2
1.0
4.1089 2.3723 4.0911
-4.1089 2.3723 4.0911
0.0000 -4.7445 4.0911
Mn Ni Sb
2 15 2
Direct
0.1053 0.1053 0.1053
0.8947 0.8947 0.8947
0.0000 0.0000 0.5000
0.0000 0.3025 0.6975
0.0000 0.5000 0.0000
0.0000 0.6975 0.3025
0.1564 0.6530 0.6530
0.3025 0.0000 0.6975
0.3025 0.6975 0.0000
0.3470 0.3470 0.8436
0.3470 0.8436 0.3470
0.5000 0.0000 0.0000
0.6530 0.1564 0.6530
0.6530 0.6530 0.1564
0.6975 0.0000 0.3025
0.6975 0.3025 0.0000
0.8436 0.3470 0.3470
0.3461 0.3461 0.3461
0.6539 0.6539 0.6539
```

Its volume is 239.3 Å³ per cell. The density of states at the Fermi level is 24.19 states/eV/f.u. As for the space group: No. 166. Its uncorrected formation energy is 0.070 eV/atom.

Material: Tb3ScH
Method: DFT, PBE-GGA
State: relaxed

Cell and atoms, written as POSCAR:
```
Tb3ScH
1.0
4.9177 0.0000 0.0000
0.0000 4.9177 0.0000
0.0000 0.0000 4.9177
Tb Sc H
3 1 1
Direct
0.0000 0.0000 0.5000
0.0000 0.5000 0.0000
0.5000 0.0000 0.0000
0.5000 0.5000 0.5000
0.0000 0.0000 0.0000
```

Its volume is 118.9 Å³ per cell. The density of states at the Fermi level is 6.12 states/eV/f.u. The total DFT energy (no corrections) comes out at -4.8590 eV/atom. As for the space group: No. 221.

Material: LiSiRhBr2
Method: DFT, PBE-GGA
State: relaxed

Cell and atoms, written as POSCAR:
```
LiSiRhBr2
1.0
5.2334 0.0000 0.0000
0.0000 5.2334 0.0000
0.0000 0.0000 4.8038
Li Si Rh Br
1 1 1 2
Direct
0.0000 0.0000 0.0000
0.0000 0.0000 0.5000
0.5000 0.5000 0.0000
0.0000 0.5000 0.5000
0.5000 0.0000 0.5000
```

Its volume is 131.6 Å³ per cell. The density of states at the Fermi level is 8.73 states/eV/f.u. As for the space group: No. 123. Its uncorrected formation energy is 0.721 eV/atom.

Material: Ac8Pr2Y3
Method: DFT, PBE-GGA
State: relaxed

Cell and atoms, written as POSCAR:
```
Ac8Pr2Y3
1.0
6.6811 0.0000 0.0000
1.1173 8.5047 0.0000
0.0135 4.2650 9.2686
Ac Pr Y
8 2 3
Direct
0.0778 0.0441 0.3037
0.1588 0.5795 0.6146
0.2349 0.1171 0.9221
0.3065 0.6449 0.2265
0.6935 0.3551 0.7735
0.7651 0.8829 0.0779
0.8412 0.4205 0.3854
0.9222 0.9559 0.6963
0.3881 0.1837 0.5402
0.6119 0.8163 0.4598
0.0000 0.5000 0.0000
0.4625 0.7249 0.8491
0.5375 0.2751 0.1509
```

Its volume is 526.6 Å³ per cell. The density of states at the Fermi level is 22.56 states/eV/f.u. The calculation puts the formation energy at 4.1 kJ/mol of atoms. As for the space group: No. 2.